Entry P
Entry from OQMD: Dy2YLu4Ni2Te2 after structural relaxation (PBE-GGA).

The structure in CIF format:
```
data_Dy2YLu4Ni2Te2
_cell_length_a 3.832
_cell_length_b 15.433
_cell_length_c 9.422
_cell_angle_alpha 90.00
_cell_angle_beta 90.00
_cell_angle_gamma 90.00
_space_group_name_H-M_alt 'I m m 2'
_space_group_IT_number 44
_space_group_name_Hall 'I 2 -2'
loop_
_atom_site_label
_atom_site_fract_x
_atom_site_fract_y
_atom_site_fract_z
Dy1 0.000 0.148 0.000
Y1 0.000 0.500 0.733
Lu1 0.000 0.185 0.354
Lu2 0.000 0.366 0.149
Ni1 0.000 0.260 0.663
Te1 0.000 0.000 0.500
Te2 0.000 0.500 0.393
```

Calculated values
* magnetic moment: 0.001 μB per atom

=====

Entry Q
Entry from OQMD: Dy2YLu4Ni2Te2 after structural relaxation (PBE-GGA).

The structure in CIF format:
```
data_Dy2YLu4Ni2Te2
_cell_length_a 3.815
_cell_length_b 15.404
_cell_length_c 9.451
_cell_angle_alpha 90.00
_cell_angle_beta 90.00
_cell_angle_gamma 90.00
_space_group_name_H-M_alt 'I m m 2'
_space_group_IT_number 44
_space_group_name_Hall 'I 2 -2'
loop_
_atom_site_label
_atom_site_fract_x
_atom_site_fract_y
_atom_site_fract_z
Dy1 0.000 0.186 0.000
Y1 0.000 0.500 0.378
Lu1 0.000 0.147 0.648
Lu2 0.000 0.367 0.797
Ni1 0.000 0.261 0.305
Te1 0.000 0.000 0.147
Te2 0.000 0.500 0.040
```

Calculated values
* magnetic moment: 0.001 μB per atom

=====

Order of stability, best first: entry P, entry Q